[1]
A plane-wave DFT calculation with GGA-PBEsol was carried out for crystalline Cu2GeHW at its relaxed geometry.

Output
calculated volume	107.5	Å³ per cell

abc: 4.7039 4.7039 4.8586
angles: 90.00 90.00 90.00
Last column: nearest neighbours and their distance in Å.
Atoms (fractional coordinates):
H: 0.5000 0.5000 0.5000  4 Ge 3.33, 8 Cu 3.38
Ge: 0.0000 0.0000 0.5000  2 W 2.43
Cu: 0.0000 0.5000 0.0000  2 W 2.35
Cu: 0.5000 0.0000 0.0000  2 W 2.35
W: 0.0000 0.0000 0.0000  4 Cu 2.35, 2 Ge 2.43

[2]
A plane-wave DFT calculation with GGA-PBEsol was carried out for crystalline HfCuGe3 at its relaxed geometry.

Output
formation enthalpy at 0 K	0.8925	eV/atom
calculated volume	129.2	Å³ per cell

abc: 5.0558 5.0558 5.0558
angles: 90.00 90.00 90.00
Last column: nearest neighbours and their distance in Å.
Atoms (fractional coordinates):
Ge: 0.0000 0.5000 0.0000  2 Hf 2.53
Ge: 0.0000 0.0000 0.5000  2 Hf 2.53
Ge: 0.5000 0.0000 0.0000  2 Hf 2.53
Hf: 0.0000 0.0000 0.0000  6 Ge 2.53
Cu: 0.5000 0.5000 0.5000  12 Ge 3.57

Energy list, top to bottom, in eV/atom: -4.2754; -5.0383